1.
Below is a crystal of Zr2Al2Zn relaxed with PBEsol, with properties calculated at the SCAN level.

The structure belongs to space group P4/mbm (No. 127); the cell edges are 6.567, 6.567 and 4.225 Å and the angles 90.00°, 90.00° and 90.00°. The inequivalent atoms are Zr at (0.168, 0.332, 0.000), Al at (0.136, 0.636, 0.500) and Zn at (0.000, 0.000, 0.500).

The calculation puts the formation energy at -2.2 eV per formula unit.



2.
Below is a crystal of Mn5Ir relaxed with PBEsol, with properties calculated at the SCAN level.

The structure belongs to space group P-62m (No. 189); the cell edges are 4.3585, 4.3585 and 3.9980 Å and the angles 90.00°, 90.00° and 120.00°. The inequivalent atoms are Mn at (0.0000, 0.6562, 0.0000), Mn at (0.3333, 0.6667, 0.5000) and Ir at (0.0000, 0.0000, 0.5000).

The excess energy over the best structure of this formula in the dataset comes out at 0.000 eV per atom. The calculation puts the formation energy at -0.4 eV per formula unit.



3.
Below is a crystal of YHgPb2 relaxed with PBEsol, with properties calculated at the SCAN level.

The structure belongs to space group C2/m (No. 12); the cell edges are 11.093, 4.515 and 4.532 Å and the angles 90.00°, 114.01° and 90.00°. The inequivalent atoms are Y at (0.000, 0.000, 0.000), Hg at (0.000, 0.500, 0.500) and Pb at (0.250, 0.000, 0.750).

The calculation puts the formation energy at -1.8 eV per formula unit.



4.
Below is a crystal of Ti2GaC relaxed with PBEsol, with properties calculated at the SCAN level.

The structure belongs to space group P6_3/mmc (No. 194); the cell edges are 3.0470, 3.0470 and 13.2934 Å and the angles 90.00°, 90.00° and 120.00°. The inequivalent atoms are Ti at (0.3333, 0.6667, 0.0855), Ga at (0.3333, 0.6667, 0.7500) and C at (0.0000, 0.0000, 0.0000).

The excess energy over the best structure of this formula in the dataset comes out at 0.000 eV per atom. The calculation puts the formation energy at -3.4 eV per formula unit.



5.
Below is a crystal of Lu2ZnAg relaxed with PBEsol, with properties calculated at the SCAN level.

The structure belongs to space group Fm-3m (No. 225); the cell edges are 6.930, 6.930 and 6.930 Å and the angles 90.00°, 90.00° and 90.00°. The inequivalent atoms are Lu at (0.250, 0.250, 0.250), Zn at (0.000, 0.000, 0.000) and Ag at (0.000, 0.000, 0.500).

The calculation puts the formation energy at -1.7 eV per formula unit.



6.
Below is a crystal of Na4TiO4 relaxed with PBEsol, with properties calculated at the SCAN level.

The structure belongs to space group Cmcm (No. 63); the cell edges are 8.789, 8.623 and 6.655 Å and the angles 90.00°, 90.00° and 90.00°. The inequivalent atoms are Na at (0.153, 0.211, 0.250), Na at (0.163, 0.500, 0.000), Ti at (0.000, 0.171, 0.750), O at (0.000, 0.294, 0.524) and O at (0.177, 0.060, 0.750).

For the total energy, the calculation gives -313.23 eV/cell.



7.
Below is a crystal of KTcAu relaxed with PBEsol, with properties calculated at the SCAN level.

The structure belongs to space group I4mm (No. 107); the cell edges are 2.722, 2.722 and 15.481 Å and the angles 90.00°, 90.00° and 90.00°. The inequivalent atoms are K at (0.000, 0.000, 0.000), Tc at (0.000, 0.000, 0.314) and Au at (0.000, 0.000, 0.681).

The excess energy over the best structure of this formula in the dataset comes out at 0.166 eV per atom. The calculation puts the formation energy at 2.2 eV per formula unit.



8.
Below is a crystal of Ag2SnAu2 relaxed with PBEsol, with properties calculated at the SCAN level.

The structure belongs to space group P4/mbm (No. 127); the cell edges are 7.351, 7.351 and 3.471 Å and the angles 90.00°, 90.00° and 90.00°. The inequivalent atoms are Ag at (0.159, 0.341, 0.000), Sn at (0.000, 0.000, 0.500) and Au at (0.138, 0.638, 0.500).

The excess energy over the best structure of this formula in the dataset comes out at 0.000 eV per atom. The calculation puts the formation energy at -0.1 eV per formula unit.



9.
Below is a crystal of CsBeAg2As relaxed with PBEsol, with properties calculated at the SCAN level.

The structure belongs to space group P4/mmm (No. 123); the cell edges are 5.627, 5.627 and 5.761 Å and the angles 90.00°, 90.00° and 90.00°. The inequivalent atoms are Cs at (0.000, 0.000, 0.000), Be at (0.500, 0.500, 0.500), Ag at (0.000, 0.500, 0.000) and As at (0.000, 0.000, 0.500).

The calculation puts the formation energy at 10.4 eV per formula unit.



10.
Below is a crystal of KRuAu2 relaxed with PBEsol, with properties calculated at the SCAN level.

The structure belongs to space group P2/m (No. 10); the cell edges are 2.709, 3.917 and 7.528 Å and the angles 90.00°, 90.07° and 90.00°. The inequivalent atoms are K at (0.000, 0.000, 0.000), Ru at (0.000, 0.000, 0.500) and Au at (0.500, 0.500, 0.313).

The excess energy over the best structure of this formula in the dataset comes out at 0.000 eV per atom. The calculation puts the formation energy at 1.0 eV per formula unit.



11.
Below is a crystal of LaTa2Mn relaxed with PBEsol, with properties calculated at the SCAN level.

The structure belongs to space group Pmmm (No. 47); the cell edges are 3.232, 4.636 and 5.004 Å and the angles 90.00°, 90.00° and 90.00°. The inequivalent atoms are La at (0.000, 0.000, 0.000), Ta at (0.000, 0.500, 0.500), Ta at (0.500, 0.000, 0.500) and Mn at (0.500, 0.500, 0.000).

The excess energy over the best structure of this formula in the dataset comes out at 0.217 eV per atom. The calculation puts the formation energy at 2.1 eV per formula unit.



12.
Below is a crystal of SrLiPdPt2 relaxed with PBEsol, with properties calculated at the SCAN level.

The structure belongs to space group P4/mmm (No. 123); the cell edges are 4.963, 4.963 and 4.373 Å and the angles 90.00°, 90.00° and 90.00°. The inequivalent atoms are Sr at (0.000, 0.000, 0.000), Li at (0.500, 0.500, 0.000), Pd at (0.500, 0.500, 0.500) and Pt at (0.000, 0.500, 0.500).

The calculation puts the formation energy at -0.9 eV per formula unit.